Here is a geometry-optimized Cu3AsS4 structure from the Alexandria database. Energies are from PBE.

a b c (Å): 6.116 3.960 6.511
angles (deg): 90.00 91.46 90.00
Atoms (fractional coordinates):
Cu1 0.000 0.000 0.000
Cu2 0.193 0.500 0.525
Cu3 0.749 0.000 0.529
As1 0.489 0.500 0.122
S1 0.087 0.000 0.658
S2 0.118 0.500 0.154
S3 0.579 0.500 0.463
S4 0.617 0.000 0.979

theoretical density	4.15	g cm⁻³
SG	No. 6
electronic total energy	-4.282	eV per atom

---

Here is a geometry-optimized Cu3AsS4 structure from the Alexandria database. Energies are from PBE.

a b c (Å): 7.462 6.467 6.179
angles (deg): 90.00 90.00 90.00
Atoms (fractional coordinates):
Cu1 0.000 0.162 0.000
Cu2 0.250 0.328 0.497
Cu3 0.250 0.672 0.997
Cu4 0.500 0.838 0.500
Cu5 0.750 0.328 0.497
Cu6 0.750 0.672 0.997
As1 0.000 0.830 0.502
As2 0.500 0.170 0.002
S1 0.000 0.160 0.628
S2 0.000 0.828 0.132
S3 0.250 0.338 0.126
S4 0.250 0.662 0.626
S5 0.500 0.172 0.632
S6 0.500 0.840 0.128
S7 0.750 0.338 0.126
S8 0.750 0.662 0.626

theoretical density	4.39	g cm⁻³
SG	No. 31
electronic total energy	-4.382	eV per atom

---

Here is a geometry-optimized CuAsS structure from the Alexandria database. Energies are from PBE.

a b c (Å): 6.437 3.714 9.997
angles (deg): 90.00 103.02 90.00
Atoms (fractional coordinates):
Cu1 0.196 0.000 0.087
Cu2 0.304 0.500 0.913
Cu3 0.696 0.500 0.087
Cu4 0.804 0.000 0.913
As1 0.142 0.500 0.431
As2 0.358 0.000 0.569
As3 0.642 0.000 0.431
As4 0.858 0.500 0.569
S1 0.111 0.000 0.839
S2 0.389 0.500 0.161
S3 0.611 0.500 0.839
S4 0.889 0.000 0.161

theoretical density	4.86	g cm⁻³
SG	No. 12
electronic total energy	-4.376	eV per atom

---

Here is a geometry-optimized Cu6As4S9 structure from the Alexandria database. Energies are from PBE.

a b c (Å): 9.151 9.156 9.911
angles (deg): 107.75 90.09 109.41
Atoms (fractional coordinates):
Cu1 0.000 0.000 0.000
Cu2 0.027 0.128 0.411
Cu3 0.117 0.442 0.205
Cu4 0.167 0.574 0.603
Cu5 0.232 0.723 0.993
Cu6 0.262 0.885 0.411
Cu7 0.394 0.198 0.197
Cu8 0.573 0.771 0.795
Cu9 0.643 0.926 0.218
Cu10 0.670 0.076 0.605
Cu11 0.716 0.237 0.004
Cu12 0.817 0.531 0.796
As1 0.103 0.295 0.821
As2 0.336 0.066 0.818
As3 0.414 0.319 0.604
As4 0.468 0.483 0.988
As5 0.558 0.647 0.397
As6 0.779 0.399 0.385
As7 0.882 0.703 0.228
As8 0.912 0.818 0.600
S1 0.018 0.374 0.401
S2 0.066 0.522 0.803
S3 0.126 0.695 0.200
S4 0.178 0.834 0.615
S5 0.243 0.982 0.003
S6 0.283 0.139 0.396
S7 0.371 0.444 0.208
S8 0.421 0.579 0.592
S9 0.487 0.739 0.007
S10 0.513 0.876 0.405
S11 0.570 0.026 0.807
S12 0.636 0.172 0.206
S13 0.677 0.325 0.593
S14 0.729 0.492 0.004
S15 0.833 0.792 0.808
S16 0.895 0.941 0.197
S17 0.925 0.086 0.613
S18 0.970 0.239 0.003

theoretical density	4.35	g cm⁻³
SG	No. 1
electronic total energy	-4.433	eV per atom

---

Here is a geometry-optimized Cu2AsS structure from the Alexandria database. Energies are from PBE.

a b c (Å): 3.583 3.583 17.097
angles (deg): 90.00 90.00 120.00
Atoms (fractional coordinates):
Cu1 0.000 0.000 0.000
Cu2 0.000 0.000 0.153
Cu3 0.333 0.667 0.667
Cu4 0.333 0.667 0.820
Cu5 0.667 0.333 0.333
Cu6 0.667 0.333 0.487
As1 0.000 0.000 0.577
As2 0.333 0.667 0.243
As3 0.667 0.333 0.910
S1 0.000 0.000 0.747
S2 0.333 0.667 0.414
S3 0.667 0.333 0.080

theoretical density	6.14	g cm⁻³
SG	No. 160
electronic total energy	-4.172	eV per atom

---

Here is a geometry-optimized CuAs2S4 structure from the Alexandria database. Energies are from PBE.

a b c (Å): 6.233 6.233 12.872
angles (deg): 90.00 90.00 146.37
Atoms (fractional coordinates):
Cu1 0.050 0.950 0.750
Cu2 0.950 0.050 0.250
As1 0.360 0.640 0.561
As2 0.360 0.640 0.939
As3 0.640 0.360 0.061
As4 0.640 0.360 0.439
S1 0.000 0.000 0.000
S2 0.000 0.000 0.500
S3 0.273 0.727 0.116
S4 0.273 0.727 0.384
S5 0.447 0.553 0.750
S6 0.553 0.447 0.250
S7 0.727 0.273 0.616
S8 0.727 0.273 0.884

theoretical density	4.10	g cm⁻³
SG	No. 63
electronic total energy	-4.221	eV per atom

---

Here is a geometry-optimized CuAsS structure from the Alexandria database. Energies are from PBE.

a b c (Å): 3.535 3.535 4.565
angles (deg): 90.00 90.00 120.00
Atoms (fractional coordinates):
Cu1 0.000 0.000 0.000
As1 0.333 0.667 0.680
S1 0.667 0.333 0.274

theoretical density	5.73	g cm⁻³
SG	No. 156
electronic total energy	-4.210	eV per atom

---

Here is a geometry-optimized CuAsS structure from the Alexandria database. Energies are from PBE.

a b c (Å): 12.977 3.815 5.273
angles (deg): 90.00 106.57 90.00
Atoms (fractional coordinates):
Cu1 0.190 0.000 0.072
Cu2 0.310 0.500 0.928
Cu3 0.690 0.500 0.072
Cu4 0.810 0.000 0.928
As1 0.174 0.500 0.452
As2 0.326 0.000 0.548
As3 0.674 0.000 0.452
As4 0.826 0.500 0.548
S1 0.114 0.500 0.842
S2 0.386 0.000 0.158
S3 0.614 0.000 0.842
S4 0.886 0.500 0.158

theoretical density	4.53	g cm⁻³
SG	No. 12
electronic total energy	-4.273	eV per atom

---

Here is a geometry-optimized CuAs2S structure from the Alexandria database. Energies are from PBE.

a b c (Å): 5.499 5.499 11.730
angles (deg): 90.00 90.00 90.00
Atoms (fractional coordinates):
Cu1 0.000 0.000 0.000
Cu2 0.000 0.500 0.250
Cu3 0.500 0.000 0.750
Cu4 0.500 0.500 0.500
As1 0.222 0.250 0.125
As2 0.250 0.722 0.375
As3 0.250 0.778 0.875
As4 0.278 0.250 0.625
As5 0.722 0.750 0.625
As6 0.750 0.222 0.875
As7 0.750 0.278 0.375
As8 0.778 0.750 0.125
S1 0.000 0.000 0.500
S2 0.000 0.500 0.750
S3 0.500 0.000 0.250
S4 0.500 0.500 0.000

theoretical density	4.60	g cm⁻³
SG	No. 122
electronic total energy	-4.103	eV per atom

---

Here is a geometry-optimized Cu12Sb3AsS16 structure from the Alexandria database. Energies are from PBE.

a b c (Å): 15.268 6.603 6.603
angles (deg): 70.63 90.00 90.00
Atoms (fractional coordinates):
Cu1 0.000 0.000 0.000
Cu2 0.121 0.001 0.497
Cu3 0.121 0.497 0.001
Cu4 0.245 0.498 0.498
Cu5 0.374 0.000 0.498
Cu6 0.374 0.498 0.000
Cu7 0.500 0.999 0.999
Cu8 0.626 0.000 0.498
Cu9 0.626 0.498 0.000
Cu10 0.755 0.498 0.498
Cu11 0.879 0.001 0.497
Cu12 0.879 0.497 0.001
Sb1 0.249 0.999 0.999
Sb2 0.500 0.499 0.499
Sb3 0.751 0.999 0.999
As1 0.000 0.498 0.498
S1 0.000 0.370 0.876
S2 0.000 0.876 0.370
S3 0.118 0.866 0.866
S4 0.123 0.370 0.370
S5 0.248 0.396 0.869
S6 0.248 0.869 0.396
S7 0.365 0.368 0.368
S8 0.382 0.867 0.867
S9 0.500 0.368 0.897
S10 0.500 0.897 0.368
S11 0.618 0.867 0.867
S12 0.635 0.368 0.368
S13 0.752 0.396 0.869
S14 0.752 0.869 0.396
S15 0.877 0.370 0.370
S16 0.882 0.866 0.866

theoretical density	4.54	g cm⁻³
SG	No. 38
electronic total energy	-4.354	eV per atom

---

Here is a geometry-optimized Cu2SbAsS structure from the Alexandria database. Energies are from PBE.

a b c (Å): 4.319 4.319 5.379
angles (deg): 90.00 90.00 90.00
Atoms (fractional coordinates):
Cu1 0.000 0.500 0.000
Cu2 0.500 0.000 0.000
Sb1 0.000 0.000 0.500
As1 0.500 0.500 0.500
S1 0.500 0.500 0.000

theoretical density	5.89	g cm⁻³
SG	No. 123
electronic total energy	-3.920	eV per atom

---

Here is a geometry-optimized CuSb2AsS structure from the Alexandria database. Energies are from PBE.

a b c (Å): 5.389 5.389 4.662
angles (deg): 90.00 90.00 90.00
Atoms (fractional coordinates):
Cu1 0.000 0.000 0.000
Sb1 0.000 0.500 0.500
Sb2 0.500 0.000 0.500
As1 0.500 0.500 0.500
S1 0.500 0.500 0.000

theoretical density	5.08	g cm⁻³
SG	No. 123
electronic total energy	-3.367	eV per atom

---

Here is a geometry-optimized CuAsSe2S structure from the Alexandria database. Energies are from PBE.

a b c (Å): 4.704 4.704 4.770
angles (deg): 90.00 90.00 90.00
Atoms (fractional coordinates):
Cu1 0.000 0.000 0.000
As1 0.000 0.000 0.500
Se1 0.000 0.500 0.000
Se2 0.500 0.000 0.000
S1 0.500 0.500 0.500

theoretical density	5.17	g cm⁻³
SG	No. 123
energy relative to the lowest polymorph listed for this composition	0.0	meV per atom
electronic total energy	-3.184	eV per atom

---

Here is a geometry-optimized CuAs2SeS structure from the Alexandria database. Energies are from PBE.

a b c (Å): 4.752 4.752 4.629
angles (deg): 90.00 90.00 90.00
Atoms (fractional coordinates):
Cu1 0.000 0.000 0.000
As1 0.000 0.500 0.000
As2 0.500 0.000 0.000
Se1 0.000 0.000 0.500
S1 0.500 0.500 0.500

theoretical density	5.15	g cm⁻³
SG	No. 123
energy relative to the lowest polymorph listed for this composition	163.8	meV per atom
electronic total energy	-3.405	eV per atom

---

Here is a geometry-optimized CuAs2SeS structure from the Alexandria database. Energies are from PBE.

a b c (Å): 4.897 4.897 4.248
angles (deg): 90.00 90.00 90.00
Atoms (fractional coordinates):
Cu1 0.000 0.000 0.000
As1 0.000 0.500 0.000
As2 0.500 0.000 0.000
Se1 0.500 0.500 0.500
S1 0.000 0.000 0.500

theoretical density	5.29	g cm⁻³
SG	No. 123
energy relative to the lowest polymorph listed for this composition	0.0	meV per atom
electronic total energy	-3.569	eV per atom

---

Here is a geometry-optimized CuAs2SeS structure from the Alexandria database. Energies are from PBE.

a b c (Å): 4.809 4.809 4.793
angles (deg): 90.00 90.00 90.00
Atoms (fractional coordinates):
Cu1 0.000 0.000 0.000
As1 0.000 0.500 0.500
As2 0.500 0.000 0.500
Se1 0.500 0.500 0.000
S1 0.500 0.500 0.500

theoretical density	4.86	g cm⁻³
SG	No. 123
energy relative to the lowest polymorph listed for this composition	292.2	meV per atom
electronic total energy	-3.277	eV per atom

---

Here is a geometry-optimized CuAsSe2S structure from the Alexandria database. Energies are from PBE.

a b c (Å): 4.838 4.838 4.825
angles (deg): 90.00 90.00 90.00
Atoms (fractional coordinates):
Cu1 0.000 0.000 0.000
As1 0.500 0.500 0.000
Se1 0.000 0.500 0.500
Se2 0.500 0.000 0.500
S1 0.500 0.500 0.500

theoretical density	4.83	g cm⁻³
SG	No. 123
energy relative to the lowest polymorph listed for this composition	76.3	meV per atom
electronic total energy	-3.108	eV per atom

---

Here is a geometry-optimized Cu2AsSeS2 structure from the Alexandria database. Energies are from PBE.

a b c (Å): 6.650 6.650 6.184
angles (deg): 90.00 90.00 66.42
Atoms (fractional coordinates):
Cu1 0.034 0.331 0.000
Cu2 0.331 0.034 0.500
Cu3 0.669 0.966 0.000
Cu4 0.966 0.669 0.500
As1 0.302 0.698 0.963
As2 0.698 0.302 0.463
Se1 0.279 0.721 0.353
Se2 0.721 0.279 0.853
S1 0.030 0.323 0.368
S2 0.323 0.030 0.868
S3 0.677 0.970 0.368
S4 0.970 0.677 0.868

theoretical density	4.57	g cm⁻³
SG	No. 36
electronic total energy	-4.247	eV per atom

---

Here is a geometry-optimized CuAsSeS structure from the Alexandria database. Energies are from PBE.

a b c (Å): 7.404 4.244 6.235
angles (deg): 90.00 113.35 90.00
Atoms (fractional coordinates):
Cu1 0.000 0.000 0.000
Cu2 0.500 0.500 0.000
As1 0.006 0.500 0.518
As2 0.506 0.000 0.518
Se1 0.365 0.000 0.098
Se2 0.865 0.500 0.098
S1 0.366 0.500 0.598
S2 0.866 0.000 0.598

theoretical density	4.61	g cm⁻³
SG	No. 8
electronic total energy	-4.137	eV per atom

---

Here is a geometry-optimized Sm2CuAsS5 structure from the Alexandria database. Energies are from PBE.

a b c (Å): 8.899 8.899 11.263
angles (deg): 90.00 90.00 154.53
Atoms (fractional coordinates):
Sm1 0.114 0.886 0.500
Sm2 0.122 0.878 0.122
Sm3 0.878 0.122 0.622
Sm4 0.886 0.114 0.000
Cu1 0.250 0.750 0.930
Cu2 0.750 0.250 0.430
As1 0.409 0.591 0.294
As2 0.591 0.409 0.794
S1 0.036 0.964 0.892
S2 0.304 0.696 0.134
S3 0.311 0.689 0.466
S4 0.357 0.643 0.814
S5 0.493 0.507 0.112
S6 0.507 0.493 0.612
S7 0.643 0.357 0.314
S8 0.689 0.311 0.966
S9 0.696 0.304 0.634
S10 0.964 0.036 0.392

theoretical density	5.19	g cm⁻³
SG	No. 36
electronic total energy	-5.463	eV per atom